Record 1
A relaxed structure of CuPI2N, computed with PBE.

Values from the calculation:
As for the excess energy over the best structure of this formula in the dataset: 0.0 meV per atom. The calculation puts the calculated total energy at -3.457 eV per atom. The calculation puts the calculated density at 5.20 g/cm³. The volume comes out at 23.2 A^3/atom. As for the space group: P4/mmm, No. 123.

```
CuPI2N
1.0
5.907 0.000 0.000
0.000 5.907 0.000
0.000 0.000 3.319
Cu P I N
1 1 2 1
direct
0.000 0.000 0.000
0.500 0.500 0.500
0.000 0.500 0.500
0.500 0.000 0.500
0.500 0.500 0.000
```



Record 2
A relaxed structure of CuPbIN2, computed with PBE.

Values from the calculation:
The calculation puts the calculated total energy at -3.507 eV per atom. The calculation puts the calculated density at 5.16 g/cm³. The volume comes out at 27.4 A^3/atom. As for the space group: P4/mmm, No. 123.

```
CuPbIN2
1.0
4.413 0.000 0.000
0.000 4.413 0.000
0.000 0.000 7.031
Cu Pb I N
1 1 1 2
direct
0.000 0.000 0.000
0.500 0.500 0.500
0.500 0.500 0.000
0.000 0.500 0.500
0.500 0.000 0.500
```



Record 3
A relaxed structure of CuPdI2N, computed with PBE.

Values from the calculation:
As for the excess energy over the best structure of this formula in the dataset: 0.0 meV per atom. The calculation puts the calculated total energy at -3.314 eV per atom. The calculation puts the calculated density at 6.02 g/cm³. The volume comes out at 24.1 A^3/atom. As for the space group: P4/mmm, No. 123.

```
CuPdI2N
1.0
5.668 0.000 0.000
0.000 5.668 0.000
0.000 0.000 3.756
Cu Pd I N
1 1 2 1
direct
0.000 0.000 0.000
0.500 0.500 0.500
0.000 0.500 0.500
0.500 0.000 0.500
0.500 0.500 0.000
```



Record 4
A relaxed structure of CuPdI2N, computed with PBE.

Values from the calculation:
As for the excess energy over the best structure of this formula in the dataset: 51.7 meV per atom. The calculation puts the calculated total energy at -3.262 eV per atom. The calculation puts the calculated density at 6.55 g/cm³. The volume comes out at 22.2 A^3/atom. As for the space group: P4/mmm, No. 123.

```
CuPdI2N
1.0
5.540 0.000 0.000
0.000 5.540 0.000
0.000 0.000 3.614
Cu Pd I N
1 1 2 1
direct
0.000 0.000 0.000
0.500 0.500 0.500
0.000 0.500 0.000
0.500 0.000 0.000
0.000 0.000 0.500
```



Record 5
A relaxed structure of CuPtI2N, computed with PBE.

Values from the calculation:
As for the excess energy over the best structure of this formula in the dataset: 0.0 meV per atom. The calculation puts the calculated total energy at -3.624 eV per atom. The calculation puts the calculated density at 7.20 g/cm³. The volume comes out at 24.3 A^3/atom. As for the space group: P4/mmm, No. 123.

```
CuPtI2N
1.0
5.709 0.000 0.000
0.000 5.709 0.000
0.000 0.000 3.726
Cu Pt I N
1 1 2 1
direct
0.000 0.000 0.000
0.500 0.500 0.500
0.000 0.500 0.500
0.500 0.000 0.500
0.500 0.500 0.000
```



Record 6
A relaxed structure of CuPtIN2, computed with PBE.

Values from the calculation:
As for the excess energy over the best structure of this formula in the dataset: 556.4 meV per atom. The calculation puts the calculated total energy at -4.052 eV per atom. The calculation puts the calculated density at 7.15 g/cm³. The volume comes out at 19.2 A^3/atom. As for the space group: P4/mmm, No. 123.

```
CuPtIN2
1.0
3.809 0.000 0.000
0.000 3.809 0.000
0.000 0.000 6.623
Cu Pt I N
1 1 1 2
direct
0.000 0.000 0.000
0.500 0.500 0.500
0.000 0.000 0.500
0.000 0.500 0.000
0.500 0.000 0.000
```



DOS at the Fermi energy (states/eV/f.u.)
0.8 1.8 1.9 5.6 2.9 3.1